(a)
# Y4Sb2H

A geometry-optimized Y4Sb2H structure (PBE, Alexandria via LeMat-Bulk).

Properties
As for the crystal system: monoclinic. Its total magnetic moment is 0.00 Bohr magnetons per cell.

abc: 6.4594 6.4037 8.8295
angles: 90.00 107.98 90.00
Space group P2_1/m (No. 11)
Inequivalent atoms, fractional coordinates:
Y 0.0254 0.0024 0.2956 [4 per cell]
Y 0.3575 0.7500 0.0615 [2 per cell]
Y 0.4323 0.7500 0.6470 [2 per cell]
Sb 0.1982 0.2500 0.0324 [2 per cell]
Sb 0.3254 0.2500 0.5978 [2 per cell]
H 0.2178 0.7500 0.7990 [2 per cell]

(b)
# Y4Sb2H

A geometry-optimized Y4Sb2H structure (PBE, Alexandria via LeMat-Bulk).

Properties
As for the crystal system: tetragonal. Its total magnetic moment is 1.17 Bohr magnetons per cell.

abc: 4.4766 4.4766 16.9247
angles: 90.00 90.00 90.00
Space group I4/mmm (No. 139)
Inequivalent atoms, fractional coordinates:
Y 0.0000 0.0000 0.1783 [4 per cell]
Y 0.0000 0.5000 0.0000 [4 per cell]
Sb 0.0000 0.0000 0.3627 [4 per cell]
H 0.0000 0.0000 0.0000 [2 per cell]

Which is most stable, and by how much? (b), by 0.018 eV/atom.

(a)
# Y2Sb2H

A geometry-optimized Y2Sb2H structure (PBE, Alexandria via LeMat-Bulk).

Properties
As for the crystal system: orthorhombic. Its total magnetic moment is 0.00 Bohr magnetons per cell.

abc: 4.2834 18.5190 6.1425
angles: 90.00 90.00 90.00
Space group Cmc2_1 (No. 36)
Inequivalent atoms, fractional coordinates:
Y 0.0000 0.0914 0.0000 [4 per cell]
Y 0.0000 0.3327 0.9428 [4 per cell]
Sb 0.0000 0.2907 0.4460 [4 per cell]
Sb 0.0000 0.4943 0.2222 [4 per cell]
H 0.0000 0.1271 0.3424 [4 per cell]

(b)
# Y2Sb2H

A geometry-optimized Y2Sb2H structure (PBE, Alexandria via LeMat-Bulk).

Properties
As for the crystal system: tetragonal. Its total magnetic moment is 0.00 Bohr magnetons per cell.

abc: 7.2831 7.2831 4.5883
angles: 90.00 90.00 90.00
Space group P4/mbm (No. 127)
Inequivalent atoms, fractional coordinates:
Y 0.1762 0.3238 0.0000 [4 per cell]
Sb 0.1385 0.6385 0.5000 [4 per cell]
H 0.0000 0.0000 0.0000 [2 per cell]

Which is most stable, and by how much? (a), by 0.183 eV/atom.

(a)
# Y2SbH

A geometry-optimized Y2SbH structure (PBE, Alexandria via LeMat-Bulk).

Properties
As for the crystal system: trigonal. Its total magnetic moment is 0.00 Bohr magnetons per cell.

abc: 4.1138 4.1138 18.9626
angles: 90.00 90.00 120.00
Space group R-3m (No. 166, hexagonal axes)
Inequivalent atoms, fractional coordinates:
Y 0.0000 0.0000 0.2366 [6 per cell]
Sb 0.0000 0.0000 0.0000 [3 per cell]
H 0.0000 0.0000 0.5000 [3 per cell]

(b)
# Y2SbH

A geometry-optimized Y2SbH structure (PBE, Alexandria via LeMat-Bulk).

Properties
As for the crystal system: cubic. Its total magnetic moment is 5.84 Bohr magnetons per cell.

abc: 7.1715 7.1715 7.1715
angles: 90.00 90.00 90.00
Space group Fm-3m (No. 225)
Inequivalent atoms, fractional coordinates:
Y 0.2500 0.2500 0.2500 [8 per cell]
Sb 0.0000 0.0000 0.0000 [4 per cell]
H 0.0000 0.0000 0.5000 [4 per cell]

(c)
# Y2SbH

A geometry-optimized Y2SbH structure (PBE, Alexandria via LeMat-Bulk).

Properties
As for the crystal system: tetragonal. Its total magnetic moment is 1.86 Bohr magnetons per cell.

abc: 7.1100 7.1100 7.0119
angles: 90.00 90.00 90.00
Space group I-42d (No. 122)
Inequivalent atoms, fractional coordinates:
Y 0.1660 0.2500 0.1250 [8 per cell]
Sb 0.0000 0.0000 0.5000 [4 per cell]
H 0.0000 0.0000 0.0000 [4 per cell]

(d)
# Y2SbH

A geometry-optimized Y2SbH structure (PBE, Alexandria via LeMat-Bulk).

Properties
As for the crystal system: monoclinic. Its total magnetic moment is 0.00 Bohr magnetons per cell.

abc: 7.3083 7.3262 7.2495
angles: 90.00 98.75 90.00
Space group P2_1/c (No. 14)
Inequivalent atoms, fractional coordinates:
Y 0.0566 0.1337 0.3164 [4 per cell]
Y 0.3718 0.7377 0.4906 [4 per cell]
Sb 0.3290 0.0818 0.7084 [4 per cell]
H 0.0777 0.6708 0.9131 [4 per cell]

Which is most stable, and by how much? (d), by 0.028 eV/atom.

(a)
# YSbH2

A geometry-optimized YSbH2 structure (PBE, Alexandria via LeMat-Bulk).

Properties
As for the crystal system: cubic. Its total magnetic moment is 0.00 Bohr magnetons per cell.

abc: 6.2096 6.2096 6.2096
angles: 90.00 90.00 90.00
Space group Fm-3m (No. 225)
Inequivalent atoms, fractional coordinates:
Y 0.0000 0.0000 0.0000 [4 per cell]
Sb 0.0000 0.0000 0.5000 [4 per cell]
H 0.2500 0.2500 0.2500 [8 per cell]

(b)
# YSbH2

A geometry-optimized YSbH2 structure (PBE, Alexandria via LeMat-Bulk).

Properties
As for the crystal system: tetragonal. Its total magnetic moment is 0.00 Bohr magnetons per cell.

abc: 4.4547 4.4547 13.0173
angles: 90.00 90.00 90.00
Space group I-42d (No. 122)
Inequivalent atoms, fractional coordinates:
Y 0.0000 0.0000 0.0000 [4 per cell]
Sb 0.0000 0.0000 0.5000 [4 per cell]
H 0.1606 0.2500 0.1250 [8 per cell]

(c)
# YSbH2

A geometry-optimized YSbH2 structure (PBE, Alexandria via LeMat-Bulk).

Properties
As for the crystal system: orthorhombic. Its total magnetic moment is 0.00 Bohr magnetons per cell.

abc: 3.5004 12.0477 6.2041
angles: 90.00 90.00 90.00
Space group Cmcm (No. 63)
Inequivalent atoms, fractional coordinates:
Y 0.0000 0.2297 0.2500 [4 per cell]
Sb 0.0000 0.0393 0.7500 [4 per cell]
H 0.0000 0.3075 0.5597 [8 per cell]

Which is most stable, and by how much? (c), by 0.303 eV/atom.

(a)
# YSb2H

A geometry-optimized YSb2H structure (PBE, Alexandria via LeMat-Bulk).

Properties
As for the crystal system: cubic. Its total magnetic moment is 2.83 Bohr magnetons per cell.

abc: 7.2617 7.2617 7.2617
angles: 90.00 90.00 90.00
Space group Fm-3m (No. 225)
Inequivalent atoms, fractional coordinates:
Y 0.0000 0.0000 0.0000 [4 per cell]
Sb 0.2500 0.2500 0.2500 [8 per cell]
H 0.0000 0.0000 0.5000 [4 per cell]

(b)
# YSb2H

A geometry-optimized YSb2H structure (PBE, Alexandria via LeMat-Bulk).

Properties
As for the crystal system: tetragonal. Its total magnetic moment is 0.00 Bohr magnetons per cell.

abc: 6.9559 6.9559 7.1410
angles: 90.00 90.00 90.00
Space group I-42d (No. 122)
Inequivalent atoms, fractional coordinates:
Y 0.0000 0.0000 0.0000 [4 per cell]
Sb 0.1450 0.7500 0.6250 [8 per cell]
H 0.0000 0.0000 0.5000 [4 per cell]

Which is most stable, and by how much? (b), by 0.420 eV/atom.

(a)
# ZnSbH

A geometry-optimized ZnSbH structure (PBE, Alexandria via LeMat-Bulk).

Properties
As for the crystal system: orthorhombic. Its total magnetic moment is 0.00 Bohr magnetons per cell.

abc: 8.4096 6.6984 4.5589
angles: 90.00 90.00 90.00
Space group Pnma (No. 62)
Inequivalent atoms, fractional coordinates:
Zn 0.0000 0.0000 0.0000 [4 per cell]
Sb 0.1804 0.2500 0.2971 [4 per cell]
H 0.0498 0.2500 0.6018 [4 per cell]

(b)
# ZnSbH

A geometry-optimized ZnSbH structure (PBE, Alexandria via LeMat-Bulk).

Properties
As for the crystal system: triclinic. Its total magnetic moment is 0.00 Bohr magnetons per cell.

abc: 4.6740 4.6851 6.3305
angles: 110.17 109.79 90.67
Space group P-1 (No. 2)
Inequivalent atoms, fractional coordinates:
Zn 0.1981 0.3055 0.4989 [2 per cell]
Sb 0.4278 0.9329 0.7450 [2 per cell]
H 0.0500 0.4380 0.9882 [2 per cell]

Which is most stable, and by how much? (b), by 0.187 eV/atom.

(a)
# Zn2SbH

A geometry-optimized Zn2SbH structure (PBE, Alexandria via LeMat-Bulk).

Properties
As for the crystal system: tetragonal. Its total magnetic moment is 0.00 Bohr magnetons per cell.

abc: 4.8041 4.8041 11.9773
angles: 90.00 90.00 90.00
Space group I-42d (No. 122)
Inequivalent atoms, fractional coordinates:
Zn 0.1029 0.2500 0.1250 [8 per cell]
Sb 0.0000 0.0000 0.5000 [4 per cell]
H 0.0000 0.0000 0.0000 [4 per cell]

(b)
# Zn2SbH

A geometry-optimized Zn2SbH structure (PBE, Alexandria via LeMat-Bulk).

Properties
As for the crystal system: cubic. Its total magnetic moment is 0.56 Bohr magnetons per cell.

abc: 6.4674 6.4674 6.4674
angles: 90.00 90.00 90.00
Space group Fm-3m (No. 225)
Inequivalent atoms, fractional coordinates:
Zn 0.2500 0.2500 0.2500 [8 per cell]
Sb 0.0000 0.0000 0.0000 [4 per cell]
H 0.0000 0.0000 0.5000 [4 per cell]

Which is most stable, and by how much? (a), by 0.296 eV/atom.

(a)
# Zn3SbH

A geometry-optimized Zn3SbH structure (PBE, Alexandria via LeMat-Bulk).

Properties
As for the crystal system: cubic. Its total magnetic moment is 0.00 Bohr magnetons per cell.

abc: 4.3003 4.3003 4.3003
angles: 90.00 90.00 90.00
Space group Pm-3m (No. 221)
Inequivalent atoms, fractional coordinates:
Zn 0.0000 0.0000 0.5000 [3 per cell]
Sb 0.5000 0.5000 0.5000 [1 per cell]
H 0.0000 0.0000 0.0000 [1 per cell]

(b)
# Zn3SbH

A geometry-optimized Zn3SbH structure (PBE, Alexandria via LeMat-Bulk).

Properties
As for the crystal system: cubic. Its total magnetic moment is 0.00 Bohr magnetons per cell.

abc: 5.3545 5.3545 5.3545
angles: 90.00 90.00 90.00
Space group Pm-3m (No. 221)
Inequivalent atoms, fractional coordinates:
Zn 0.0000 0.0000 0.5000 [3 per cell]
Sb 0.0000 0.0000 0.0000 [1 per cell]
H 0.5000 0.5000 0.5000 [1 per cell]

Which is most stable, and by how much? (a), by 0.499 eV/atom.